No. 1
Compound: BaVSi2O7
Source: Alexandria
Functional: PBE with a Hubbard U
Structure: relaxed

abc: 7.1361 7.7833 7.1361
angles: 62.71 90.00 117.29
Site moments in Bohr magnetons follow the coordinates.
Positions (direct):
Ba 0.2500 0.5000 0.2500  0.00
Ba 0.7500 0.5000 0.7500  0.00
V 0.6546 0.3092 0.3454  1.04
V 0.3454 0.6908 0.6546  1.04
Si 0.7531 0.0000 0.7984  0.00
Si 0.2016 0.0000 0.7531  0.00
Si 0.7984 0.0000 0.2469  0.00
Si 0.2469 0.0000 0.2016  0.00
O 0.7935 0.5871 0.2065  -0.10
O 0.2065 0.4129 0.7935  -0.10
O 0.0273 0.0000 0.2688  0.00
O 0.9727 0.0000 0.7312  0.00
O 0.7312 0.0000 0.0273  0.00
O 0.2688 0.0000 0.9727  0.00
O 0.6082 0.7697 0.4618  0.00
O 0.8386 0.2303 0.2315  0.00
O 0.7685 0.2303 0.6082  0.00
O 0.2315 0.7697 0.3918  0.00
O 0.1614 0.7697 0.7685  0.00
O 0.5382 0.7697 0.8386  0.00
O 0.3918 0.2303 0.5382  0.00
O 0.4618 0.2303 0.1614  0.00

**Volume**: 13.7 A^3/atom
**Energy above the lowest structure with this stoichiometry**: 1.6 kJ/mol of atoms

---

No. 2
Compound: BaVSi2O7
Source: Alexandria
Functional: PBE with a Hubbard U
Structure: relaxed

abc: 8.2248 8.2248 7.1821
angles: 90.00 90.00 141.47
Site moments in Bohr magnetons follow the coordinates.
Positions (direct):
Ba 0.8062 0.2193 0.2500  0.00
Ba 0.2193 0.8062 0.7500  0.00
V 0.1172 0.9077 0.2500  1.08
V 0.9077 0.1172 0.7500  1.08
Si 0.4094 0.6157 0.4759  0.00
Si 0.6157 0.4094 0.5241  0.00
Si 0.4094 0.6157 0.0241  0.00
Si 0.6157 0.4094 0.9759  0.00
O 0.1168 0.4102 0.5613  0.00
O 0.4102 0.1168 0.4387  0.00
O 0.1168 0.4102 0.9387  0.00
O 0.4102 0.1168 0.0613  0.00
O 0.5128 0.5128 0.5000  0.00
O 0.5128 0.5128 0.0000  0.00
O 0.0119 0.0132 0.2500  -0.12
O 0.0132 0.0119 0.7500  -0.12
O 0.3821 0.6429 0.2500  0.00
O 0.6429 0.3821 0.7500  0.00
O 0.6146 0.9082 0.5614  0.00
O 0.9082 0.6146 0.4386  0.00
O 0.6146 0.9082 0.9386  0.00
O 0.9082 0.6146 0.0614  0.00

**Volume**: 13.8 A^3/atom
**Energy above the lowest structure with this stoichiometry**: 0.0 kJ/mol of atoms

---

No. 3
Compound: BaVSi2O
Source: Alexandria
Functional: PBE with a Hubbard U
Structure: relaxed

abc: 4.4308 7.5763 4.4308
angles: 90.00 90.00 90.00
Site moments in Bohr magnetons follow the coordinates.
Positions (direct):
Si 0.0000 0.0000 0.5000  -0.01
Si 0.5000 0.0000 0.0000  0.01
Ba 0.0000 0.5000 0.0000  0.00
O 0.5000 0.5000 0.5000  -0.02
V 0.0000 0.0000 0.0000  -0.14

**Volume**: 29.7 A^3/atom
**E_tot**: -4.406 eV per atom

---

No. 4
Compound: BaV2SiO8
Source: Alexandria
Functional: PBE with a Hubbard U
Structure: relaxed

abc: 5.3200 5.3200 7.2117
angles: 90.00 90.00 120.00
Positions (direct):
Ba 0.0000 0.0000 0.0000
V 0.6667 0.3333 0.2839
V 0.3333 0.6667 0.7161
Si 0.0000 0.0000 0.5000
O 0.3333 0.6667 0.9500
O 0.3052 0.2007 0.3518
O 0.7993 0.1046 0.3518
O 0.6667 0.3333 0.0500
O 0.2007 0.8954 0.6482
O 0.6948 0.7993 0.6482
O 0.1046 0.3052 0.6482
O 0.8954 0.6948 0.3518

**Volume**: 14.7 A^3/atom
**E_tot**: -7.482 eV per atom

---

No. 5
Compound: Ba2VSi2O8
Source: Alexandria
Functional: PBE with a Hubbard U
Structure: relaxed

abc: 8.6050 8.6050 5.3290
angles: 90.00 90.00 90.00
Site moments in Bohr magnetons follow the coordinates.
Positions (direct):
Ba 0.1717 0.6717 0.9960  0.00
Ba 0.6717 0.8283 0.9960  0.00
Ba 0.3283 0.1717 0.9960  0.00
Ba 0.8283 0.3283 0.9960  0.00
V 0.5000 0.5000 0.5385  1.05
V 0.0000 0.0000 0.5385  1.05
Si 0.3706 0.8706 0.5196  0.00
Si 0.8706 0.6294 0.5196  0.00
Si 0.1294 0.3706 0.5196  0.00
Si 0.6294 0.1294 0.5196  0.00
O 0.5000 0.5000 0.2253  -0.10
O 0.0000 0.0000 0.2253  -0.10
O 0.7935 0.0773 0.6528  0.00
O 0.2065 0.9227 0.6528  0.00
O 0.9227 0.7935 0.6528  0.00
O 0.0773 0.2065 0.6528  0.00
O 0.4227 0.7065 0.6528  0.00
O 0.7065 0.5773 0.6528  0.00
O 0.2935 0.4227 0.6528  0.00
O 0.5773 0.2935 0.6528  0.00
O 0.5000 0.0000 0.6315  0.00
O 0.0000 0.5000 0.6315  0.00
O 0.6291 0.1291 0.2176  0.00
O 0.1291 0.3709 0.2176  0.00
O 0.8709 0.6291 0.2176  0.00
O 0.3709 0.8709 0.2176  0.00

**Volume**: 15.2 A^3/atom
**E_tot**: -7.530 eV per atom

---

No. 6
Compound: BaV2SiO
Source: Alexandria
Functional: PBE with a Hubbard U
Structure: relaxed

abc: 4.6742 6.6532 4.6742
angles: 90.00 90.00 90.00
Site moments in Bohr magnetons follow the coordinates.
Positions (direct):
Si 0.0000 0.0000 0.0000  -0.20
Ba 0.0000 0.5000 0.0000  0.01
O 0.5000 0.5000 0.5000  -0.38
V 0.0000 0.0000 0.5000  2.98
V 0.5000 0.0000 0.0000  2.50

**Volume**: 29.1 A^3/atom
**E_tot**: -4.838 eV per atom